# Cs2Al2Sn

A geometry-optimized Cs2Al2Sn structure (PBE, Alexandria via LeMat-Bulk).

The structure in extended XYZ format:
```
10
Lattice="7.417 0.000 0.000 0.000 7.417 0.000 0.000 0.000 6.520" Properties=species:S:1:pos:R:3 pbc="T T T"
Cs 1.380 2.328 0.000
Cs 2.328 6.037 0.000
Cs 5.089 1.380 0.000
Cs 6.037 5.089 0.000
Al 0.933 4.641 3.260
Al 2.776 0.933 3.260
Al 4.641 6.484 3.260
Al 6.484 2.776 3.260
Sn 0.000 0.000 3.260
Sn 3.709 3.709 3.260
```

Properties
ΔE_f = 0.17 eV per atom
polymorph energy (0 for the lowest one) = 0 meV/atom
DFT total energy = -24.7 eV/cell